Ta2AlNi | PBE-GGA | relaxed

Computed properties:
The density of states at the Fermi level is 2.994 states/eV/f.u. The energy relative to the elements comes out at -88 meV per atom. The calculated volume is 63.7 Å³/cell. The value obtained for the uncorrected energy is -8.396 eV/atom.

abc: 3.291 3.291 5.882
angles: 90.00 90.00 90.00
Positions (direct):
Al 0.000 0.000 0.516
Ni 0.500 0.500 0.736
Ta 0.500 0.500 0.254
Ta 0.000 0.000 0.995